This record from OQMD via LeMat-Bulk describes crystalline PrTaBe at its relaxed geometry. The functional is GGA-PBE.

Results
E_tot (eV per atom): -6.010
Calculated volume (Å³/atom): 21.5
Space group: F-43m, No. 216
Energy above the lowest structure with this stoichiometry (eV per atom): 0.000

Cell: 6.3624 6.3624 6.3624 Å, 90.00 90.00 90.00°
Closest atoms and distances in Å follow each position.
Element x y z (fractional)
Pr1 0.0000 0.0000 0.0000  4 Be 2.76
Pr2 0.0000 0.5000 0.5000  4 Be 2.76
Pr3 0.5000 0.0000 0.5000  4 Be 2.76
Pr4 0.5000 0.5000 0.0000  4 Be 2.76
Ta1 0.0000 0.0000 0.5000  4 Be 2.76
Ta2 0.0000 0.5000 0.0000  4 Be 2.76
Ta3 0.5000 0.0000 0.0000  4 Be 2.76
Ta4 0.5000 0.5000 0.5000  4 Be 2.76
Be1 0.2500 0.2500 0.2500  4 Ta 2.76, 4 Pr 2.76
Be2 0.2500 0.7500 0.7500  4 Ta 2.76, 4 Pr 2.76
Be3 0.7500 0.2500 0.7500  4 Ta 2.76, 4 Pr 2.76
Be4 0.7500 0.7500 0.2500  4 Ta 2.76, 4 Pr 2.76